Compound: CdGa2Hg
Source: Alexandria via LeMat-Bulk
Functional: PBE
Structure: relaxed

Cell and atoms, written as CIF:
```
data_CdGa2Hg
_chemical_formula_sum 'Cd3 Ga6 Hg3'
_cell_length_a 4.6089
_cell_length_b 4.6089
_cell_length_c 14.8084
_cell_angle_alpha 90.00
_cell_angle_beta 90.00
_cell_angle_gamma 120.00
_symmetry_space_group_name_H-M 'R -3 m'
_symmetry_Int_Tables_number 166
_symmetry_space_group_name_Hall '-R 3 2"'
loop_
_atom_site_label
_atom_site_fract_x
_atom_site_fract_y
_atom_site_fract_z
Cd1 0.0000 0.0000 0.0000
Ga1 0.0000 0.0000 0.2495
Hg1 0.0000 0.0000 0.5000
```

Results
magnetic moment = 0.00 μB/cell
Fermi-level density of states = 0.304 states/eV/atom
formation enthalpy at 0 K = 91 meV/atom
excess energy over the best structure of this formula in the dataset = 0.168 eV/f.u.